Density functional theory data (PBE) for an optimized crystal structure of CaZnRe2.

Calculated values
- DOS(E_F) (states/eV/cell) = 2.522
- ΔH_f (0 K) (meV per atom) = 642.4
- SG = Pmmm
- DFT total energy (eV/atom) = -6.401

Lattice parameters (Å, degrees): 2.613 4.560 6.061 90.00 90.00 90.00
Fractional positions:
1 Ca 0.000 0.000 0.000
2 Zn 0.000 0.000 0.500
3 Re 0.500 0.500 0.300
4 Re 0.500 0.500 0.700